Record 1
Crystalline LiVPt2 at its relaxed geometry. Source: Alexandria, functional PBE.

Energy relative to the elements: -0.592 eV/atom
M_tot: 0.0 Bohr magnetons per cell
Fermi-level density of states: 0.627 states/eV/atom
Space-group type: P4/mmm
VASP energy: -6.370 eV/atom

Cell lengths 2.795, 2.795, 7.126 Å; angles 90.00, 90.00, 90.00 degrees
Fractional positions:
Li  0.500  0.500  0.000
Pt  0.000  0.000  0.750
Pt  0.000  0.000  0.250
V  0.500  0.500  0.500

---

Record 2
Crystalline LiVPt4 at its relaxed geometry. Source: Alexandria, functional PBE.

Energy relative to the elements: -0.434 eV/atom
M_tot: 0.0 Bohr magnetons per cell
Polymorph energy (0 for the lowest one): 0 meV per atom
Fermi-level density of states: 1.082 states/eV/atom
Space-group type: C2/m
VASP energy: -6.300 eV/atom

Cell lengths 2.728, 4.827, 7.284 Å; angles 97.19, 79.21, 73.59 degrees
Fractional positions:
Li  0.500  0.500  0.500
V  0.000  0.000  0.000
Pt  0.822  0.520  0.836
Pt  0.340  0.991  0.329
Pt  0.178  0.480  0.164
Pt  0.660  0.009  0.671

---

Record 3
Crystalline LiVPt6 at its relaxed geometry. Source: Alexandria, functional PBE.

Energy relative to the elements: -0.486 eV/atom
M_tot: 0.0 Bohr magnetons per cell
Fermi-level density of states: 0.780 states/eV/atom
Space-group type: P4/mmm
VASP energy: -6.396 eV/atom

Cell lengths 3.908, 3.908, 7.732 Å; angles 90.00, 90.00, 90.00 degrees
Fractional positions:
Li  0.000  0.000  0.000
V  0.000  0.000  0.500
Pt  0.500  0.500  0.000
Pt  0.500  0.500  0.500
Pt  0.500  0.000  0.253
Pt  0.500  0.000  0.747
Pt  0.000  0.500  0.253
Pt  0.000  0.500  0.747

---

Record 4
Crystalline LiVPt2 at its relaxed geometry. Source: Alexandria, functional PBE.

Energy relative to the elements: -0.491 eV/atom
M_tot: 0.1 Bohr magnetons per cell
Fermi-level density of states: 0.998 states/eV/atom
Space-group type: P4/mmm
VASP energy: -6.270 eV/atom

Cell lengths 2.720, 4.571, 4.571 Å; angles 90.00, 90.00, 90.00 degrees
Fractional positions:
Li  0.500  0.000  0.000
Pt  0.000  0.000  0.500
Pt  0.000  0.500  0.000
V  0.500  0.500  0.500

---

Record 5
Crystalline LiVPt3 at its relaxed geometry. Source: Alexandria, functional PBE.

Energy relative to the elements: 0.403 eV/atom
M_tot: 0.0 Bohr magnetons per cell
Polymorph energy (0 for the lowest one): 663 meV per atom
Fermi-level density of states: 0.770 states/eV/atom
Space-group type: Pm-3m
VASP energy: -5.428 eV/atom

Cell lengths 4.659, 4.659, 4.659 Å; angles 90.00, 90.00, 90.00 degrees
Fractional positions:
V  0.000  0.000  0.000
Pt  0.000  0.500  0.000
Pt  0.000  0.000  0.500
Pt  0.500  0.000  0.000
Li  0.500  0.500  0.500

---

Record 6
Crystalline Li3VPt4 at its relaxed geometry. Source: Alexandria, functional PBE.

Energy relative to the elements: -0.570 eV/atom
M_tot: 0.0 Bohr magnetons per cell
Fermi-level density of states: 0.366 states/eV/atom
Space-group type: I4/mmm
VASP energy: -5.448 eV/atom

Cell lengths 4.255, 4.255, 6.613 Å; angles 108.73, 108.77, 90.00 degrees
Fractional positions:
V  0.500  0.000  0.000
Pt  0.375  0.375  0.750
Pt  0.625  0.625  0.250
Pt  0.125  0.125  0.250
Pt  0.875  0.875  0.750
Li  0.000  0.500  0.000
Li  0.754  0.254  0.509
Li  0.246  0.746  0.491

---

- The highest VASP energy belongs to which entry?
  LiVPt3

---

Please write out number 4 again, unchanged.
Crystalline LiVPt2 at its relaxed geometry. Source: Alexandria, functional PBE.

Energy relative to the elements: -0.491 eV/atom
M_tot: 0.1 Bohr magnetons per cell
Fermi-level density of states: 0.998 states/eV/atom
Space-group type: P4/mmm
VASP energy: -6.270 eV/atom

Cell lengths 2.720, 4.571, 4.571 Å; angles 90.00, 90.00, 90.00 degrees
Fractional positions:
Li  0.500  0.000  0.000
Pt  0.000  0.000  0.500
Pt  0.000  0.500  0.000
V  0.500  0.500  0.500

---

- What is the M_tot in the fifth record?
  0.0 Bohr magnetons per cell